P) DFT (GGA-PBE) results for a geometry-optimized Fe2PtBr structure.

Computed properties:
- M_tot (μB per formula unit) = 6.7
- density of states at the Fermi level (states/eV/f.u.) = 4.339

```
Fe2PtBr
1.0
-4.313 0.088 2.695
-4.284 -0.435 -2.708
4.407 -2.525 0.269
Fe Br Pt
2 1 1
Direct
0.000 0.000 0.000 Fe
0.250 0.750 0.500 Fe
0.750 0.250 0.500 Br
0.500 0.500 0.000 Pt
```

Q) DFT (GGA-PBE) results for a geometry-optimized Fe2PtBr structure.

Computed properties:
- M_tot (μB per formula unit) = 6.4
- density of states at the Fermi level (states/eV/f.u.) = 4.510

```
Fe2PtBr
1.0
0.000 3.153 3.153
3.153 0.000 3.153
3.153 3.153 0.000
Br Fe Pt
1 2 1
Direct
0.000 0.000 0.000 Br
0.250 0.250 0.250 Fe
0.750 0.750 0.750 Fe
0.500 0.500 0.500 Pt
```

Energies relative to the minimum, meV/atom: P) 60; Q) 0

P) DFT (GGA-PBE) results for a geometry-optimized Fe2PtBr structure.

Computed properties:
- M_tot (μB per formula unit) = 7.0
- density of states at the Fermi level (states/eV/f.u.) = 4.317

```
Fe2PtBr
1.0
5.815 0.000 0.000
0.000 5.815 0.000
2.907 2.907 5.441
Br Fe Pt
2 4 2
Direct
0.500 0.500 0.000 Br
0.250 0.750 0.500 Br
0.875 0.892 0.750 Fe
0.642 0.125 0.250 Fe
0.375 0.358 0.750 Fe
0.108 0.625 0.250 Fe
0.000 0.000 0.000 Pt
0.750 0.250 0.500 Pt
```

Q) DFT (GGA-PBE) results for a geometry-optimized Fe2PtBr structure.

Computed properties:
- M_tot (μB per formula unit) = 6.3
- density of states at the Fermi level (states/eV/f.u.) = 3.979

```
Fe2PtBr
1.0
2.845 -0.011 0.000
-1.231 2.565 0.000
0.000 0.000 9.228
Br Pt Fe
1 1 2
Direct
0.500 0.500 0.800 Br
0.000 0.000 0.450 Pt
0.000 0.000 0.023 Fe
0.500 0.500 0.227 Fe
```

Energies relative to the minimum, meV/atom: P) 194; Q) 0

P) DFT (GGA-PBE) results for a geometry-optimized RbFe2Br structure.

Computed properties:
- M_tot (μB per formula unit) = 7.2
- density of states at the Fermi level (states/eV/f.u.) = 10.787

```
RbFe2Br
1.0
0.000 3.788 3.788
3.788 0.000 3.788
3.788 3.788 0.000
Br Fe Rb
1 2 1
Direct
0.000 0.000 0.000 Br
0.750 0.750 0.750 Fe
0.250 0.250 0.250 Fe
0.500 0.500 0.500 Rb
```

Q) DFT (GGA-PBE) results for a geometry-optimized RbFe2Br structure.

Computed properties:
- M_tot (μB per formula unit) = 5.9
- density of states at the Fermi level (states/eV/f.u.) = 7.797

```
RbFe2Br
1.0
-1.478 -3.693 -2.587
-0.925 -2.416 3.977
-10.587 0.653 0.764
Rb Fe Br
2 4 2
Direct
0.750 0.250 0.500 Rb
0.000 0.000 0.000 Rb
0.875 0.625 0.750 Fe
0.375 0.625 0.250 Fe
0.375 0.625 0.750 Fe
0.375 0.125 0.250 Fe
0.250 0.750 0.500 Br
0.500 0.500 0.000 Br
```

Energies relative to the minimum, meV/atom: P) 704; Q) 0

P) DFT (GGA-PBE) results for a geometry-optimized RbFeBr4 structure.

Computed properties:
- M_tot (μB per formula unit) = 5.0

```
RbFeBr4
1.0
-2.625 -7.059 1.454
8.744 -4.128 -4.256
5.195 0.222 10.460
Rb Br Fe
4 16 4
Direct
0.750 0.211 0.300 Rb
0.750 0.289 0.800 Rb
0.250 0.711 0.200 Rb
0.250 0.789 0.700 Rb
0.750 0.941 0.781 Br
0.250 0.059 0.219 Br
0.250 0.069 0.885 Br
0.999 0.820 0.442 Br
0.001 0.180 0.558 Br
0.499 0.320 0.058 Br
0.999 0.680 0.942 Br
0.750 0.931 0.115 Br
0.750 0.569 0.615 Br
0.501 0.820 0.442 Br
0.501 0.680 0.942 Br
0.250 0.431 0.385 Br
0.001 0.320 0.058 Br
0.750 0.559 0.281 Br
0.499 0.180 0.558 Br
0.250 0.441 0.719 Br
0.750 0.813 0.946 Fe
0.250 0.187 0.054 Fe
0.750 0.687 0.446 Fe
0.250 0.313 0.554 Fe
```

Q) DFT (GGA-PBE) results for a geometry-optimized RbFeBr4 structure.

Computed properties:
- M_tot (μB per formula unit) = 5.0
- density of states at the Fermi level (states/eV/f.u.) = 1.076

```
RbFeBr4
1.0
5.156 0.000 0.000
0.000 7.539 0.000
-2.578 0.000 10.726
Br Fe Rb
8 2 2
Direct
0.578 0.750 0.156 Br
0.827 0.007 0.654 Br
0.000 0.000 0.000 Br
0.422 0.250 0.844 Br
0.000 0.500 0.000 Br
0.173 0.993 0.346 Br
0.173 0.507 0.346 Br
0.827 0.493 0.654 Br
0.897 0.250 0.794 Fe
0.103 0.750 0.206 Fe
0.413 0.750 0.826 Rb
0.587 0.250 0.174 Rb
```

Energies relative to the minimum, meV/atom: P) 0; Q) 132

P) DFT (GGA-PBE) results for a geometry-optimized RbFe3Br structure.

Computed properties:
- M_tot (μB per formula unit) = 7.9
- density of states at the Fermi level (states/eV/f.u.) = 6.801

```
RbFe3Br
1.0
4.971 0.000 0.000
0.000 4.971 0.000
0.000 0.000 4.971
Rb Fe Br
1 3 1
Direct
0.000 0.000 0.000 Rb
0.000 0.000 0.500 Fe
0.500 0.000 0.000 Fe
0.000 0.500 0.000 Fe
0.500 0.500 0.500 Br
```

Q) DFT (GGA-PBE) results for a geometry-optimized RbFe3Br structure.

Computed properties:
- M_tot (μB per formula unit) = 6.5
- density of states at the Fermi level (states/eV/f.u.) = 4.382

```
RbFe3Br
1.0
4.696 0.000 0.000
0.000 4.696 0.000
0.000 0.000 4.696
Rb Fe Br
1 3 1
Direct
0.500 0.500 0.500 Rb
0.000 0.000 0.500 Fe
0.000 0.500 0.000 Fe
0.500 0.000 0.000 Fe
0.000 0.000 0.000 Br
```

Energies relative to the minimum, meV/atom: P) 1146; Q) 0

P) DFT (GGA-PBE) results for a geometry-optimized FeReBr structure.

Computed properties:
- M_tot (μB per formula unit) = 2.0
- density of states at the Fermi level (states/eV/f.u.) = 1.875

```
FeReBr
1.0
-2.408 -0.567 -3.400
-0.483 -3.852 -1.616
-3.695 -1.978 0.346
Fe Re Br
1 1 1
Direct
0.500 0.500 0.500 Fe
0.750 0.750 0.750 Re
0.000 0.000 0.000 Br
```

Q) DFT (GGA-PBE) results for a geometry-optimized FeReBr structure.

Computed properties:
- M_tot (μB per formula unit) = 2.4
- density of states at the Fermi level (states/eV/f.u.) = 3.272

```
FeReBr
1.0
-1.968 6.805 -0.773
-1.424 5.732 -3.438
-2.781 0.222 0.871
Re Br Fe
1 1 1
Direct
0.315 0.315 0.685 Re
0.010 0.010 0.990 Br
0.675 0.675 0.325 Fe
```

R) DFT (GGA-PBE) results for a geometry-optimized FeReBr structure.

Computed properties:
- M_tot (μB per formula unit) = 2.5
- density of states at the Fermi level (states/eV/f.u.) = 3.029

```
FeReBr
1.0
4.348 0.000 0.000
-2.174 3.765 0.000
0.000 0.000 2.870
Br Re Fe
1 1 1
Direct
0.000 0.000 0.833 Br
0.333 0.667 0.833 Re
0.667 0.333 0.333 Fe
```

Energies relative to the minimum, meV/atom: P) 318; Q) 0; R) 241

P) DFT (GGA-PBE) results for a geometry-optimized FeReBr structure.

Computed properties:
- M_tot (μB per formula unit) = 2.4
- density of states at the Fermi level (states/eV/f.u.) = 2.520

```
FeReBr
1.0
-2.218 -1.769 1.131
0.183 0.482 -3.011
3.576 -4.840 -0.557
Re Fe Br
1 1 1
Direct
0.333 0.667 0.637 Re
0.667 0.333 0.355 Fe
0.000 0.000 0.008 Br
```

Q) DFT (GGA-PBE) results for a geometry-optimized FeReBr structure.

Computed properties:
- M_tot (μB per formula unit) = 1.5
- density of states at the Fermi level (states/eV/f.u.) = 3.013

```
FeReBr
1.0
-1.668 0.841 -5.649
-3.773 -2.338 -3.962
1.236 2.068 5.440
Fe Br Re
1 1 1
Direct
0.310 0.310 0.000 Fe
0.007 0.007 0.000 Br
0.683 0.683 0.000 Re
```

Energies relative to the minimum, meV/atom: P) 0; Q) 103

P) DFT (GGA-PBE) results for a geometry-optimized FeRe3Br structure.

Computed properties:
- M_tot (μB per formula unit) = 1.6
- density of states at the Fermi level (states/eV/f.u.) = 6.140

```
FeRe3Br
1.0
4.506 0.000 0.000
0.000 4.506 0.000
0.000 0.000 4.506
Re Fe Br
3 1 1
Direct
0.500 0.000 0.000 Re
0.000 0.000 0.500 Re
0.000 0.500 0.000 Re
0.000 0.000 0.000 Fe
0.500 0.500 0.500 Br
```

Q) DFT (GGA-PBE) results for a geometry-optimized FeRe3Br structure.

Computed properties:
- M_tot (μB per formula unit) = 0.4
- density of states at the Fermi level (states/eV/f.u.) = 9.400

```
FeRe3Br
1.0
4.492 0.000 0.000
0.000 4.492 0.000
0.000 0.000 4.492
Fe Re Br
1 3 1
Direct
0.500 0.500 0.500 Fe
0.000 0.000 0.500 Re
0.000 0.500 0.000 Re
0.500 0.000 0.000 Re
0.000 0.000 0.000 Br
```

Energies relative to the minimum, meV/atom: P) 0; Q) 625